This record from the Alexandria database describes LaHgBr2 after structural relaxation. The functional is PBE.

Structure (POSCAR):
```
LaHgBr2
1.0
7.911 -1.840 0.000
7.911 1.840 0.000
-1.616 0.000 4.807
La Hg Br
1 1 2
Cartesian
0.000 0.000 0.000
3.512 0.000 3.869
6.706 0.000 2.269
10.173 0.000 0.755
```

Properties
Its total energy is -3.357 eV/atom. Its uncorrected formation energy is -1.21 eV per atom. The calculation puts the total magnetization at 0.000 μB per formula unit.



This record from the Alexandria database describes TlSb3Pt after structural relaxation. The functional is PBE.

Structure (POSCAR):
```
TlSb3Pt
1.0
5.377 0.000 0.000
0.000 5.377 0.000
0.000 0.000 5.377
Tl Sb Pt
1 3 1
Cartesian
0.000 0.000 0.000
0.000 2.689 2.689
2.689 0.000 2.689
2.689 2.689 0.000
2.689 2.689 2.689
```

Properties
Its total energy is -3.873 eV/atom. Its uncorrected formation energy is 0.28 eV per atom. The calculation puts the total magnetization at 0.000 μB per formula unit.